Model A:
Entry from the Alexandria database: a geometry-optimized Zr2TcNiH structure (PBE).

```
Zr2TcNiH
1.0
4.540 0.000 0.000
0.000 4.540 0.000
0.000 0.000 3.534
Ni Tc Zr H
1 1 2 1
Direct
0.500 0.500 0.500
0.000 0.000 0.500
0.000 0.500 0.000
0.500 0.000 0.000
0.000 0.000 0.000
```

Properties
theoretical density = 7.753 g/cm³
M_tot = 0.0 μB/cell

=====

Model B:
Entry from the Alexandria database: a geometry-optimized Zr2TcNiH structure (PBE).

```
Zr2TcNiH
1.0
-3.488 2.605 -1.444
0.789 -1.336 -4.316
-2.120 -2.606 0.419
Ni Tc Zr H
1 1 2 1
Direct
0.000 0.000 0.500
0.500 0.500 0.500
0.000 0.500 0.000
0.500 0.000 0.000
0.000 0.000 0.000
```

Properties
theoretical density = 7.931 g/cm³
M_tot = 0.0 μB/cell

=====

The most stable of them is model B.

=====

Model A:
Entry from the Alexandria database: a geometry-optimized NiTe3H structure (PBE).

```
NiTe3H
1.0
4.615 0.000 0.000
0.000 4.615 0.000
0.000 0.000 4.615
Ni Te H
1 3 1
Direct
0.500 0.500 0.500
0.000 0.500 0.000
0.000 0.000 0.500
0.500 0.000 0.000
0.000 0.000 0.000
```

Properties
theoretical density = 7.477 g/cm³
M_tot = 0.6 μB/cell

=====

Model B:
Entry from the Alexandria database: a geometry-optimized NiTe3H structure (PBE).

```
NiTe3H
1.0
-3.068 2.307 3.302
-3.527 0.466 -3.603
-1.945 -4.483 1.325
Ni Te H
1 3 1
Direct
0.000 0.000 0.000
0.000 0.500 0.000
0.000 0.000 0.500
0.500 0.000 0.000
0.500 0.500 0.500
```

Properties
theoretical density = 5.662 g/cm³
M_tot = 1.1 μB/cell

=====

The most stable of them is model B.

=====

Model A:
Entry from the Alexandria database: a geometry-optimized Th2NiH structure (PBE).

```
Th2NiH
1.0
-3.273 -0.480 2.649
-1.117 -3.561 2.007
0.648 -1.084 7.378
Th Ni H
2 1 1
Direct
0.143 0.143 0.729
0.157 0.157 0.250
0.634 0.634 0.999
0.565 0.565 0.521
```

Properties
theoretical density = 10.401 g/cm³
M_tot = 0.0 μB/cell

=====

Model B:
Entry from the Alexandria database: a geometry-optimized Th2NiH structure (PBE).

```
Th2NiH
1.0
-2.750 -2.000 -1.326
3.730 -2.000 -4.720
0.785 -4.748 5.534
Th Ni H
4 2 2
Direct
0.750 0.224 0.436
0.250 0.776 0.564
0.250 0.787 0.078
0.750 0.213 0.922
0.250 0.391 0.219
0.750 0.609 0.781
0.750 0.836 0.336
0.250 0.164 0.664
```

Properties
theoretical density = 10.728 g/cm³
M_tot = 0.0 μB/cell

=====

The most stable of them is model B.

=====

Model A:
Entry from the Alexandria database: a geometry-optimized TiNi2H2 structure (PBE).

```
TiNi2H2
1.0
5.196 0.000 0.000
0.000 5.196 0.000
0.000 0.000 3.370
Ni H Ti
4 4 2
Direct
0.163 0.663 0.500
0.663 0.837 0.500
0.837 0.337 0.500
0.337 0.163 0.500
0.154 0.654 0.000
0.654 0.846 0.000
0.846 0.346 0.000
0.346 0.154 0.000
0.000 0.000 0.000
0.500 0.500 0.000
```

Properties
theoretical density = 6.106 g/cm³
M_tot = 0.0 μB/cell

=====

Model B:
Entry from the Alexandria database: a geometry-optimized TiNi2H2 structure (PBE).

```
TiNi2H2
1.0
-2.911 -0.940 -1.139
1.409 -2.524 -1.517
-1.287 -3.962 1.884
Ni H Ti
2 2 1
Direct
0.335 0.335 0.329
0.665 0.665 0.671
0.750 0.250 0.500
0.250 0.750 0.500
0.000 0.000 0.000
```

Properties
theoretical density = 6.606 g/cm³
M_tot = 0.0 μB/cell

=====

The most stable of them is model B.

=====

Model A:
Entry from the Alexandria database: a geometry-optimized TiNiH structure (PBE).

```
TiNiH
1.0
2.922 0.000 0.000
0.000 4.571 -0.341
-1.461 -0.767 4.427
Ti Ni H
2 2 2
Direct
0.884 0.657 0.768
0.116 0.343 0.232
0.624 0.864 0.247
0.376 0.136 0.753
0.257 0.749 0.513
0.743 0.251 0.487
```

Properties
theoretical density = 6.120 g/cm³
M_tot = 0.0 μB/cell

=====

Model B:
Entry from the Alexandria database: a geometry-optimized TiNiH structure (PBE).

```
TiNiH
1.0
2.785 0.000 0.000
0.000 2.785 0.000
-1.392 -1.392 4.107
Ni Ti H
1 1 1
Direct
0.307 0.307 0.614
0.024 0.024 0.049
0.518 0.518 0.037
```

Properties
theoretical density = 5.608 g/cm³
M_tot = 0.1 μB/cell

=====

Model C:
Entry from the Alexandria database: a geometry-optimized TiNiH structure (PBE).

```
TiNiH
1.0
-1.688 -2.092 -8.451
-0.512 -6.619 1.741
-9.672 1.180 1.640
Ni H Ti
20 20 20
Direct
0.443 0.078 0.763
0.020 0.829 0.540
0.394 0.540 0.091
0.791 0.618 0.872
0.894 0.960 0.909
0.557 0.578 0.737
0.709 0.382 0.372
0.175 0.267 0.393
0.675 0.233 0.607
0.980 0.329 0.960
0.057 0.922 0.263
0.209 0.118 0.628
0.480 0.171 0.040
0.825 0.767 0.107
0.520 0.671 0.460
0.106 0.460 0.591
0.291 0.882 0.128
0.325 0.733 0.893
0.943 0.422 0.237
0.606 0.040 0.409
0.026 0.667 0.259
0.974 0.167 0.241
0.376 0.081 0.196
0.526 0.833 0.741
0.906 0.517 0.082
0.769 0.994 0.338
0.406 0.983 0.918
0.731 0.006 0.838
0.124 0.919 0.696
0.790 0.286 0.014
0.210 0.786 0.486
0.876 0.419 0.804
0.269 0.506 0.662
0.231 0.494 0.162
0.474 0.333 0.759
0.624 0.581 0.304
0.094 0.017 0.418
0.594 0.483 0.582
0.290 0.214 0.986
0.710 0.714 0.514
0.966 0.186 0.722
0.222 0.602 0.347
0.906 0.164 0.440
0.822 0.521 0.607
0.329 0.774 0.640
0.278 0.398 0.847
0.034 0.686 0.778
0.778 0.102 0.153
0.594 0.836 0.940
0.406 0.336 0.560
0.171 0.226 0.140
0.534 0.814 0.222
0.178 0.021 0.893
0.094 0.664 0.060
0.322 0.979 0.393
0.671 0.274 0.860
0.678 0.479 0.107
0.722 0.898 0.653
0.829 0.726 0.360
0.466 0.314 0.278
```

Properties
theoretical density = 5.940 g/cm³
M_tot = 0.0 μB/cell

=====

The most stable of them is model A.

=====

Model A:
Entry from the Alexandria database: a geometry-optimized Ti2VNiH structure (PBE).

```
Ti2VNiH
1.0
4.166 0.000 0.000
0.000 4.166 0.000
0.000 0.000 3.428
Ni Ti H V
1 2 1 1
Direct
0.500 0.500 0.500
0.000 0.500 0.000
0.500 0.000 0.000
0.000 0.000 0.000
0.000 0.000 0.500
```

Properties
theoretical density = 5.759 g/cm³
M_tot = 0.1 μB/cell

=====

Model B:
Entry from the Alexandria database: a geometry-optimized Ti2VNiH structure (PBE).

```
Ti2VNiH
1.0
-0.853 -0.367 -4.100
-2.132 -3.542 0.761
-2.803 1.779 0.424
Ni Ti H V
1 2 1 1
Direct
0.000 0.000 0.500
0.000 0.500 0.000
0.500 0.000 0.000
0.000 0.000 0.000
0.500 0.500 0.500
```

Properties
theoretical density = 5.795 g/cm³
M_tot = 0.0 μB/cell

=====

The most stable of them is model A.

=====

Model A:
Entry from the Alexandria database: a geometry-optimized TlNiH3 structure (PBE).

```
TlNiH3
1.0
3.943 0.000 0.000
0.000 3.943 0.000
0.000 0.000 3.943
Ni Tl H
1 1 3
Direct
0.500 0.500 0.500
0.000 0.000 0.000
0.000 0.500 0.000
0.000 0.000 0.500
0.500 0.000 0.000
```

Properties
theoretical density = 7.206 g/cm³
M_tot = 0.6 μB/cell

=====

Model B:
Entry from the Alexandria database: a geometry-optimized TlNiH3 structure (PBE).

```
TlNiH3
1.0
-1.106 0.643 -3.421
0.364 -3.549 -0.785
-3.462 -0.578 1.010
Ni Tl H
1 1 3
Direct
0.000 0.000 0.000
0.500 0.500 0.500
0.000 0.500 0.000
0.000 0.000 0.500
0.500 0.000 0.000
```

Properties
theoretical density = 9.067 g/cm³
M_tot = 0.0 μB/cell

=====

The most stable of them is model B.

=====

Model A:
Entry from the Alexandria database: a geometry-optimized Y2TlNiH structure (PBE).

```
Y2TlNiH
1.0
-4.314 -1.605 2.290
2.313 -4.414 1.264
1.110 1.477 3.126
Y Ni Tl H
2 1 1 1
Direct
0.000 0.500 0.000
0.500 0.000 0.000
0.000 0.000 0.500
0.500 0.500 0.500
0.000 0.000 0.000
```

Properties
theoretical density = 7.646 g/cm³
M_tot = 0.0 μB/cell

=====

Model B:
Entry from the Alexandria database: a geometry-optimized Y2TlNiH structure (PBE).

```
Y2TlNiH
1.0
5.249 0.000 0.000
0.000 4.841 0.000
0.000 0.000 5.249
Y Ni Tl H
2 1 1 1
Direct
0.000 0.000 0.500
0.500 0.000 0.000
0.000 0.000 0.000
0.000 0.500 0.000
0.500 0.500 0.500
```

Properties
theoretical density = 5.502 g/cm³
M_tot = 0.0 μB/cell

=====

The most stable of them is model A.

=====

Model A:
Entry from the Alexandria database: a geometry-optimized UNi2H structure (PBE).

```
UNi2H
1.0
-0.618 -2.556 -3.526
-0.024 -2.307 1.677
-3.610 1.632 2.193
U Ni H
1 2 1
Direct
0.250 0.250 0.500
0.950 0.750 0.899
0.550 0.750 0.101
0.750 0.750 0.500
```

Properties
theoretical density = 11.918 g/cm³
M_tot = 1.0 μB/cell

=====

Model B:
Entry from the Alexandria database: a geometry-optimized UNi2H structure (PBE).

```
UNi2H
1.0
-0.251 2.493 -1.153
0.620 0.357 -2.663
-6.553 -0.534 -3.025
Ni U H
2 1 1
Direct
0.117 0.117 0.648
0.883 0.883 0.352
0.000 0.000 0.000
0.500 0.500 0.500
```

Properties
theoretical density = 12.728 g/cm³
M_tot = 0.0 μB/cell

=====

The most stable of them is model A.

=====

Model A:
Entry from the Alexandria database: a geometry-optimized UNi6H12 structure (PBE).

```
UNi6H12
1.0
5.337 -0.087 -0.123
-1.407 5.149 -0.123
-1.407 -1.813 4.821
U Ni H
1 6 12
Direct
0.000 0.000 0.000
0.621 0.225 0.225
0.225 0.225 0.621
0.225 0.621 0.225
0.775 0.775 0.379
0.379 0.775 0.775
0.775 0.379 0.775
0.871 0.129 0.500
0.806 0.560 0.560
0.560 0.560 0.806
0.440 0.194 0.440
0.440 0.440 0.194
0.194 0.440 0.440
0.129 0.500 0.871
0.500 0.871 0.129
0.129 0.871 0.500
0.871 0.500 0.129
0.500 0.129 0.871
0.560 0.806 0.560
```

Properties
theoretical density = 7.725 g/cm³
M_tot = 2.4 μB/cell

=====

Model B:
Entry from the Alexandria database: a geometry-optimized UNi6H12 structure (PBE).

```
UNi6H12
1.0
5.284 -0.127 -1.875
-2.617 4.591 -1.875
-0.076 -0.127 5.606
U Ni H
1 6 12
Direct
0.000 0.000 0.000
0.176 0.282 0.613
0.718 0.387 0.824
0.387 0.824 0.718
0.824 0.718 0.387
0.282 0.613 0.176
0.613 0.176 0.282
0.434 0.171 0.462
0.171 0.462 0.434
0.462 0.434 0.171
0.566 0.829 0.538
0.829 0.538 0.566
0.538 0.566 0.829
0.170 0.992 0.663
0.337 0.830 0.008
0.008 0.337 0.830
0.830 0.008 0.337
0.663 0.170 0.992
0.992 0.663 0.170
```

Properties
theoretical density = 7.601 g/cm³
M_tot = 1.7 μB/cell

=====

The most stable of them is model B.

=====

Model A:
Entry from the Alexandria database: a geometry-optimized V2NiH4 structure (PBE).

```
V2NiH4
1.0
-0.366 2.042 2.228
-1.413 -2.099 1.692
3.753 -1.472 4.045
Ni H V
1 4 2
Direct
0.000 0.000 0.000
0.166 0.166 0.669
0.834 0.834 0.331
0.000 0.500 0.000
0.500 0.000 0.000
0.338 0.338 0.323
0.662 0.662 0.677
```

Properties
theoretical density = 5.576 g/cm³
M_tot = 2.1 μB/cell

=====

Model B:
Entry from the Alexandria database: a geometry-optimized V2NiH4 structure (PBE).

```
V2NiH4
1.0
5.278 0.187 -0.083
-0.194 5.278 0.083
-2.482 -2.787 3.726
V Ni H
4 2 8
Direct
0.625 0.375 0.750
0.625 0.875 0.250
0.625 0.375 0.250
0.125 0.375 0.750
0.251 0.750 0.500
0.999 0.000 0.000
0.872 0.128 0.255
0.378 0.622 0.245
0.873 0.617 0.745
0.872 0.128 0.745
0.383 0.127 0.255
0.377 0.133 0.755
0.378 0.622 0.755
0.867 0.623 0.245
```

Properties
theoretical density = 5.256 g/cm³
M_tot = 0.0 μB/cell

=====

The most stable of them is model B.